! GdErGe2Ir (GGA-PBE, relaxed); values from VASP
! * energy above the lowest structure with this stoichiometry: 0.07 kcal/mol of atoms
&SYSTEM
  ibrav = 0, nat = 10, ntyp = 4
/
ATOMIC_SPECIES
Ge 72.64 Ge.upf
Gd 157.25 Gd.upf
Er 167.26 Er.upf
Ir 192.22 Ir.upf
CELL_PARAMETERS angstrom
5.276 -2.149 0.000
5.276 2.149 0.000
-4.697 0.000 9.212
ATOMIC_POSITIONS crystal
Ge 0.648 0.648 0.554
Ge 0.352 0.352 0.446
Ge 0.479 0.479 0.114
Ge 0.521 0.521 0.886
Gd 0.993 0.993 0.672
Gd 0.007 0.007 0.328
Er 0.811 0.811 0.881
Er 0.189 0.189 0.119
Ir 0.273 0.273 0.667
Ir 0.727 0.727 0.333



! KNaTePd (GGA-PBE, relaxed); values from VASP
! * energy above the lowest structure with this stoichiometry: 4.62 kcal/mol of atoms
&SYSTEM
  ibrav = 0, nat = 4, ntyp = 4
/
ATOMIC_SPECIES
Na 22.99 Na.upf
K 39.10 K.upf
Pd 106.42 Pd.upf
Te 127.60 Te.upf
CELL_PARAMETERS angstrom
-0.374 -4.263 -3.178
-4.781 -2.066 -1.137
-2.022 0.502 -4.906
ATOMIC_POSITIONS crystal
Na 0.750 0.750 0.750
K 0.250 0.250 0.250
Pd 0.500 0.500 0.500
Te 0.000 0.000 0.000



! Sm4NCl5 (GGA-PBE, relaxed); values from VASP
! * E: -55.2 eV/f.u.
&SYSTEM
  ibrav = 0, nat = 10, ntyp = 3
/
ATOMIC_SPECIES
Cl 35.45 Cl.upf
Sm 150.36 Sm.upf
N 14.01 N.upf
CELL_PARAMETERS angstrom
-8.274 -2.809 1.120
-7.546 -3.863 -2.395
4.393 -5.994 2.707
ATOMIC_POSITIONS crystal
Cl 0.828 0.828 0.166
Cl 0.500 0.500 0.500
Cl 0.837 0.837 0.653
Cl 0.163 0.163 0.347
Cl 0.172 0.172 0.834
Sm 0.356 0.356 0.919
Sm 0.998 0.998 0.209
Sm 0.002 0.002 0.791
Sm 0.644 0.644 0.081
N 0.500 0.500 0.000



! ScTcSn2 (GGA-PBE, relaxed); values from VASP
! * E: -24.2 eV/f.u.
&SYSTEM
  ibrav = 0, nat = 4, ntyp = 3
/
ATOMIC_SPECIES
Sn 118.71 Sn.upf
Sc 44.96 Sc.upf
Tc 98.00 Tc.upf
CELL_PARAMETERS angstrom
0.000 3.433 3.433
3.433 0.000 3.433
3.433 3.433 0.000
ATOMIC_POSITIONS crystal
Sn 0.500 0.500 0.500
Sn 0.250 0.250 0.250
Sc 0.750 0.750 0.750
Tc 0.000 0.000 0.000